(1)
Material: K4HgF6
Method: DFT, PBE
State: optimized geometry

abc: 7.4938 7.4938 7.4938
angles: 90.11 90.11 89.89
Closest atoms and distances in Å follow each position.
Atoms (fractional coordinates):
F 0.2984 0.9442 0.9248  1 Hg 2.34
F 0.4442 0.7984 0.4248  1 Hg 2.34
F 0.9248 0.7016 0.9442  1 Hg 2.34
F 0.7984 0.5752 0.5558  1 Hg 2.34
F 0.0752 0.2984 0.0558  1 Hg 2.34
F 0.5558 0.2016 0.5752  1 Hg 2.34
F 0.9442 0.0752 0.7016  1 Hg 2.34
F 0.4248 0.5558 0.7984  1 Hg 2.34
F 0.0558 0.9248 0.2984  1 Hg 2.34
F 0.5752 0.4442 0.2016  1 Hg 2.34
F 0.2016 0.4248 0.4442  1 Hg 2.34
F 0.7016 0.0558 0.0752  1 Hg 2.34
K 0.2500 0.6131 0.1131  6 F 2.73-2.88
K 0.2500 0.2500 0.7500  6 F 2.67
K 0.8869 0.2500 0.3869  6 F 2.73-2.88
K 0.7500 0.7500 0.2500  6 F 2.67
K 0.1131 0.7500 0.6131  6 F 2.73-2.88
K 0.6131 0.8869 0.7500  6 F 2.73-2.88
K 0.3869 0.1131 0.2500  6 F 2.73-2.88
K 0.7500 0.3869 0.8869  6 F 2.73-2.88
Hg 0.5000 0.5000 0.5000  6 F 2.34
Hg 0.0000 0.0000 0.0000  6 F 2.34

Total magnetization ... 0.00 Bohr magnetons per cell
Space group ... R-3c
Raw total energy ... -84.49 eV per cell

(2)
Material: KHgF3
Method: DFT, PBE
State: optimized geometry

abc: 15.4907 6.9721 6.9721
angles: 143.70 147.94 32.06
Closest atoms and distances in Å follow each position.
Atoms (fractional coordinates):
K 0.6201 0.0146 0.9854  6 F 2.65-2.74
K 0.3799 0.9854 0.0146  6 F 2.65-2.74
F 0.6152 0.2200 0.7800  1 Hg 2.20
F 0.0093 0.3134 0.6866  3 Hg 2.35-2.59
F 0.1931 0.7538 0.2462  2 Hg 2.27-2.46
F 0.8069 0.2462 0.7538  2 Hg 2.27-2.46
F 0.3848 0.7800 0.2200  1 Hg 2.20
F 0.9907 0.6866 0.3134  3 Hg 2.35-2.59
Hg 0.9146 0.9575 0.0425  5 F 2.20-2.46
Hg 0.0854 0.0425 0.9575  5 F 2.20-2.46

Total magnetization ... 0.00 Bohr magnetons per cell
Space group ... C2/m
Raw total energy ... -33.87 eV per cell

The lowest raw total energy belongs to which entry? K4HgF6

What is the raw total energy in the second record? -33.87 eV per cell

What did the second record say?
Material: KHgF3
Method: DFT, PBE
State: optimized geometry

abc: 15.4907 6.9721 6.9721
angles: 143.70 147.94 32.06
Closest atoms and distances in Å follow each position.
Atoms (fractional coordinates):
K 0.6201 0.0146 0.9854  6 F 2.65-2.74
K 0.3799 0.9854 0.0146  6 F 2.65-2.74
F 0.6152 0.2200 0.7800  1 Hg 2.20
F 0.0093 0.3134 0.6866  3 Hg 2.35-2.59
F 0.1931 0.7538 0.2462  2 Hg 2.27-2.46
F 0.8069 0.2462 0.7538  2 Hg 2.27-2.46
F 0.3848 0.7800 0.2200  1 Hg 2.20
F 0.9907 0.6866 0.3134  3 Hg 2.35-2.59
Hg 0.9146 0.9575 0.0425  5 F 2.20-2.46
Hg 0.0854 0.0425 0.9575  5 F 2.20-2.46

Total magnetization ... 0.00 Bohr magnetons per cell
Space group ... C2/m
Raw total energy ... -33.87 eV per cell

Look up the raw total energy of the first one. -84.49 eV per cell